# 1
A plane-wave DFT calculation with PBE-GGA was carried out for a geometry-optimized Ca2Sn2Hg structure.

Results
E above lowest polymorph, eV/atom: 0.114
ΔH_f (0 K), meV/atom: -421
DOS at the Fermi energy, states/eV per cell: 5.12

a = 9.0211 Å, b = 9.0211 Å, c = 3.7366 Å
α = 90.00°, β = 90.00°, γ = 90.00°
Closest atoms and distances in Å follow each position.
Atoms (fractional coordinates):
Ca 0.1846 0.3154 0.0000  6 Sn 3.17-3.34, 2 Hg 3.30
Ca 0.3154 0.8154 0.0000  6 Sn 3.17-3.34, 2 Hg 3.30
Ca 0.6846 0.1846 0.0000  6 Sn 3.17-3.34, 2 Hg 3.30
Ca 0.8154 0.6846 0.0000  6 Sn 3.17-3.34, 2 Hg 3.30
Sn 0.1149 0.6149 0.5000  1 Sn 2.93, 2 Ca 3.17
Sn 0.3851 0.1149 0.5000  1 Sn 2.93, 2 Ca 3.17
Sn 0.6149 0.8851 0.5000  1 Sn 2.93, 2 Ca 3.17
Sn 0.8851 0.3851 0.5000  1 Sn 2.93, 2 Ca 3.17
Hg 0.0000 0.0000 0.0000  4 Ca 3.30
Hg 0.5000 0.5000 0.0000  4 Ca 3.30

=====

# 2
A plane-wave DFT calculation with PBE-GGA was carried out for a geometry-optimized Dy2Y8Ho structure.

Results
E above lowest polymorph, eV/atom: 0.000
ΔH_f (0 K), meV/atom: 133
DOS at the Fermi energy, states/eV per cell: 20.11

a = 6.6479 Å, b = 6.6479 Å, c = 9.2257 Å
α = 104.60°, β = 104.60°, γ = 67.30°
Closest atoms and distances in Å follow each position.
Atoms (fractional coordinates):
Dy 0.1461 0.1461 0.1192  1 Dy 3.31, 10 Y 3.43-3.69
Dy 0.8539 0.8539 0.8808  1 Dy 3.31, 10 Y 3.43-3.69
Y 0.2112 0.6562 0.2230  1 Ho 3.18, 4 Y 3.28-3.45, 2 Dy 3.45-3.46
Y 0.3135 0.3135 0.4991  1 Dy 3.43, 5 Y 3.45-3.60, 1 Ho 3.47
Y 0.3292 0.3292 0.8778  3 Dy 3.44-3.69, 8 Y 3.45-3.77
Y 0.3438 0.7888 0.7770  1 Ho 3.18, 4 Y 3.28-3.45, 2 Dy 3.45-3.46
Y 0.6562 0.2112 0.2230  1 Ho 3.18, 4 Y 3.28-3.45, 2 Dy 3.45-3.46
Y 0.6708 0.6708 0.1222  3 Dy 3.44-3.69, 8 Y 3.45-3.77
Y 0.6865 0.6865 0.5009  1 Dy 3.43, 5 Y 3.45-3.60, 1 Ho 3.47
Y 0.7888 0.3438 0.7770  1 Ho 3.18, 4 Y 3.28-3.45, 2 Dy 3.45-3.46
Ho 0.0000 0.0000 0.5000  6 Y 3.18-3.47

=====

# 3
A plane-wave DFT calculation with PBE-GGA was carried out for a geometry-optimized Tm2Si3Ir4Rh structure.

Results
VASP energy, eV for the cell shown: -77.0
DOS at the Fermi energy, states/eV per cell: 5.41

a = 4.0802 Å, b = 4.0802 Å, c = 10.1766 Å
α = 90.00°, β = 90.00°, γ = 90.00°
Closest atoms and distances in Å follow each position.
Atoms (fractional coordinates):
Tm 0.0000 0.5000 0.2440  8 Ir 3.11-3.21, 6 Si 3.11-3.31, 2 Rh 3.31
Tm 0.5000 0.0000 0.7560  8 Ir 3.11-3.21, 6 Si 3.11-3.31, 2 Rh 3.31
Si 0.0000 0.5000 0.8714  5 Ir 2.32-2.42
Si 0.5000 0.0000 0.1286  5 Ir 2.32-2.42
Si 0.5000 0.5000 0.5000  4 Ir 2.51
Ir 0.0000 0.0000 0.0000  4 Si 2.42
Ir 0.0000 0.5000 0.6430  3 Si 2.32-2.51, 2 Rh 2.51
Ir 0.5000 0.0000 0.3570  3 Si 2.32-2.51, 2 Rh 2.51
Ir 0.5000 0.5000 0.0000  4 Si 2.42
Rh 0.0000 0.0000 0.5000  4 Ir 2.51

=====

# 4
A plane-wave DFT calculation with PBE-GGA was carried out for a geometry-optimized Sr2BeMo structure.

Results
ΔH_f (0 K), meV/atom: 690
DOS at the Fermi energy, states/eV per cell: 3.05

a = 4.1216 Å, b = 6.2835 Å, c = 6.2835 Å
α = 44.85°, β = 90.00°, γ = 90.00°
Closest atoms and distances in Å follow each position.
Atoms (fractional coordinates):
Sr 0.0000 0.0000 0.0000  3 Be 3.30-3.54, 4 Mo 3.37
Sr 0.5000 0.2849 0.2849  2 Mo 3.21, 4 Be 3.33
Be 0.0000 0.6951 0.6951  2 Mo 2.33
Mo 0.5000 0.6015 0.6015  2 Be 2.33

=====

# 5
A plane-wave DFT calculation with PBE-GGA was carried out for a geometry-optimized YErPd structure.

Results
E above lowest polymorph, eV/atom: 0.000
ΔH_f (0 K), meV/atom: -564
DOS at the Fermi energy, states/eV per cell: 2.52

a = 6.5944 Å, b = 6.5944 Å, c = 6.5944 Å
α = 148.91°, β = 148.91°, γ = 44.55°
Closest atoms and distances in Å follow each position.
Atoms (fractional coordinates):
Y 0.0000 0.0000 0.0000  4 Pd 3.06, 1 Er 3.37
Er 0.7241 0.7241 0.0000  4 Pd 2.97
Pd 0.3556 0.3556 0.0000  4 Er 2.97, 4 Y 3.06

=====

# 6
A plane-wave DFT calculation with PBE-GGA was carried out for a geometry-optimized TbTm2 structure.

Results
E above lowest polymorph, eV/atom: 0.281
ΔH_f (0 K), meV/atom: 282
DOS at the Fermi energy, states/eV per cell: 12.83

a = 6.4960 Å, b = 6.4960 Å, c = 6.4960 Å
α = 60.00°, β = 60.00°, γ = 60.00°
Closest atoms and distances in Å follow each position.
Atoms (fractional coordinates):
Tb 0.1250 0.1250 0.1250  12 Tm 3.81, 4 Tb 3.98
Tb 0.8750 0.8750 0.8750  12 Tm 3.81, 4 Tb 3.98
Tm 0.0000 0.5000 0.5000  6 Tm 3.25
Tm 0.5000 0.0000 0.5000  6 Tm 3.25
Tm 0.5000 0.5000 0.0000  6 Tm 3.25
Tm 0.5000 0.5000 0.5000  6 Tm 3.25

=====

# 7
A plane-wave DFT calculation with PBE-GGA was carried out for a geometry-optimized Lu2HfCo structure.

Results
E above lowest polymorph, eV/atom: 0.000
ΔH_f (0 K), meV/atom: -43
DOS at the Fermi energy, states/eV per cell: 4.37

a = 3.2991 Å, b = 3.2991 Å, c = 7.8740 Å
α = 90.00°, β = 90.00°, γ = 90.00°
Closest atoms and distances in Å follow each position.
Atoms (fractional coordinates):
Lu 0.0000 0.0000 0.2021  4 Co 2.82
Lu 0.0000 0.0000 0.7979  4 Co 2.82
Hf 0.5000 0.5000 0.5000  4 Hf 3.30, 8 Lu 3.31
Co 0.5000 0.5000 0.0000  8 Lu 2.82

=====

# 8
A plane-wave DFT calculation with PBE-GGA was carried out for a geometry-optimized AlInTe3 structure.

Results
E above lowest polymorph, eV/atom: 0.380
DOS at the Fermi energy, states/eV per cell: 3.17

a = 5.4098 Å, b = 5.4098 Å, c = 5.4098 Å
α = 90.00°, β = 90.00°, γ = 90.00°
Closest atoms and distances in Å follow each position.
Atoms (fractional coordinates):
Al 0.0000 0.0000 0.0000  6 Te 2.70
In 0.5000 0.5000 0.5000  12 Te 3.83
Te 0.0000 0.0000 0.5000  2 Al 2.70
Te 0.0000 0.5000 0.0000  2 Al 2.70
Te 0.5000 0.0000 0.0000  2 Al 2.70

=====

Number 1: size of the total moment 0.00 μB/f.u., mass density 5.659 Mg/m³. Number 2: size of the total moment 0.03 μB/f.u., mass density 5.564 Mg/m³. Number 3: size of the total moment 0.00 μB/f.u., mass density 12.682 Mg/m³. Number 4: size of the total moment 1.84 μB/f.u., mass density 4.054 Mg/m³. Number 5: size of the total moment 0.00 μB/f.u., mass density 7.896 Mg/m³. Number 6: size of the total moment 0.62 μB/f.u., mass density 8.512 Mg/m³. Number 7: size of the total moment 0.41 μB/f.u., mass density 11.380 Mg/m³. Number 8: size of the total moment 0.00 μB/f.u., mass density 5.502 Mg/m³.